Record 1
{"formula": "PmNd14Dy", "functional": "PBE", "state": "relaxed", "spacegroup": "No. 123", "delta_e_f_mev_per_atom": 13, "dos_at_fermi_per_ev_fu": 25.5, "lattice": [[7.275, 0.974, 0.000], [-0.978, 7.274, 0.000], [0.000, 0.000, 10.382]], "species": ["Nd", "Nd", "Nd", "Nd", "Nd", "Nd", "Nd", "Nd", "Nd", "Nd", "Nd", "Nd", "Nd", "Nd", "Pm", "Dy"], "frac_coords": [[0.624, 0.376, 0.751], [0.624, 0.874, 0.751], [0.875, 0.625, 0.000], [0.875, 0.125, 0.500], [0.875, 0.625, 0.500], [0.126, 0.376, 0.751], [0.375, 0.625, 0.500], [0.375, 0.125, 0.000], [0.375, 0.125, 0.500], [0.126, 0.874, 0.752], [0.624, 0.874, 0.249], [0.126, 0.874, 0.248], [0.624, 0.376, 0.249], [0.126, 0.376, 0.249], [0.875, 0.125, 0.000], [0.375, 0.625, 0.000]]}

---

Record 2
{"formula": "ScZn2Ir", "functional": "PBE", "state": "relaxed", "spacegroup": "No. 47", "delta_e_f_mev_per_atom": -445, "dos_at_fermi_per_ev_fu": 2.1, "lattice": [[3.829, 0.000, 0.000], [0.000, 3.840, 0.000], [0.000, 0.000, 4.324]], "species": ["Ir", "Zn", "Zn", "Sc"], "frac_coords": [[0.500, 0.000, 0.500], [0.500, 0.500, 0.000], [0.000, 0.000, 0.000], [0.000, 0.500, 0.500]]}

---

Record 3
{"formula": "Tl2AgIO8", "functional": "PBE", "state": "relaxed", "spacegroup": "No. 2", "e_form_raw_ev_per_atom": -0.290, "lattice": [[5.042, -0.239, -0.108], [-0.228, 4.941, 0.200], [-0.136, 0.289, 6.801]], "species": ["I", "O", "O", "O", "O", "O", "O", "O", "O", "Tl", "Tl", "Ag"], "frac_coords": [[0.000, 0.000, 0.000], [0.143, 0.750, 0.182], [0.668, 0.762, 0.993], [0.339, 0.255, 0.503], [0.661, 0.745, 0.497], [0.857, 0.250, 0.818], [0.126, 0.827, 0.775], [0.332, 0.238, 0.007], [0.874, 0.173, 0.225], [0.519, 0.495, 0.251], [0.481, 0.505, 0.749], [0.000, 0.000, 0.500]]}

---

Record 4
{"formula": "Hf3Si3Ni2", "functional": "PBE", "state": "relaxed", "spacegroup": "No. 63", "e_form_raw_ev_per_atom": -0.879, "dos_at_fermi_per_ev_fu": 3.9, "lattice": [[5.296, -0.011, 0.000], [-3.891, 3.593, 0.000], [0.000, 0.000, 12.919]], "species": ["Si", "Si", "Si", "Si", "Si", "Si", "Ni", "Ni", "Ni", "Ni", "Hf", "Hf", "Hf", "Hf", "Hf", "Hf"], "frac_coords": [[0.889, 0.111, 0.541], [0.840, 0.160, 0.250], [0.889, 0.111, 0.959], [0.160, 0.840, 0.750], [0.111, 0.889, 0.459], [0.111, 0.889, 0.041], [0.281, 0.719, 0.588], [0.719, 0.281, 0.088], [0.281, 0.719, 0.912], [0.719, 0.281, 0.412], [0.427, 0.573, 0.118], [0.573, 0.427, 0.882], [0.866, 0.134, 0.750], [0.573, 0.427, 0.618], [0.427, 0.573, 0.382], [0.134, 0.866, 0.250]]}

---

Record 5
{"formula": "PrEr2AgHg4", "functional": "PBE", "state": "relaxed", "spacegroup": "No. 166", "delta_e_f_mev_per_atom": -369, "dos_at_fermi_per_ev_fu": 6.3, "lattice": [[-3.416, 3.709, 0.446], [-3.489, 0.675, -3.605], [-7.874, -4.192, 3.280]], "species": ["Hg", "Hg", "Hg", "Hg", "Er", "Er", "Ag", "Pr"], "frac_coords": [[0.383, 0.383, 0.852], [0.126, 0.126, 0.623], [0.617, 0.617, 0.148], [0.874, 0.874, 0.377], [0.239, 0.239, 0.284], [0.761, 0.761, 0.716], [0.500, 0.500, 0.500], [0.000, 0.000, 0.000]]}

---

Record 6
{"formula": "ZrScSe2", "functional": "PBE", "state": "relaxed", "spacegroup": "No. 166", "e_above_lowest_polymorph_mev_per_atom": 113, "e_form_raw_ev_per_atom": -1.303, "dos_at_fermi_per_ev_fu": 2.3, "lattice": [[3.848, 0.000, 0.000], [1.924, 3.333, 0.000], [1.924, 1.111, 6.429]], "species": ["Se", "Se", "Sc", "Zr"], "frac_coords": [[0.252, 0.252, 0.243], [0.748, 0.748, 0.757], [0.000, 0.000, 0.000], [0.500, 0.500, 0.500]]}

---

Record 7
{"formula": "Ag5C", "functional": "PBE", "state": "relaxed", "spacegroup": "No. 191", "e_above_lowest_polymorph_mev_per_atom": 549, "delta_e_f_mev_per_atom": 1281, "dos_at_fermi_per_ev_fu": 3.0, "lattice": [[-5.179, 1.118, 0.991], [1.403, -2.407, -4.614], [-0.530, -4.304, 2.085]], "species": ["C", "Ag", "Ag", "Ag", "Ag", "Ag"], "frac_coords": [[0.000, 0.000, 0.000], [0.667, 0.333, 0.000], [0.500, 0.000, 0.500], [0.500, 0.500, 0.500], [0.000, 0.500, 0.500], [0.333, 0.667, 0.000]]}

---

Record 8
{"formula": "CdMo2Cl2", "functional": "PBE", "state": "relaxed", "spacegroup": "No. 127", "e_above_lowest_polymorph_mev_per_atom": 227, "e_form_raw_ev_per_atom": 0.796, "dos_at_fermi_per_ev_fu": 4.5, "lattice": [[7.836, 0.000, 0.000], [0.000, 7.836, 0.000], [0.000, 0.000, 2.844]], "species": ["Cd", "Cd", "Cl", "Cl", "Cl", "Cl", "Mo", "Mo", "Mo", "Mo"], "frac_coords": [[0.000, 0.000, 0.000], [0.500, 0.500, 0.000], [0.372, 0.872, 0.000], [0.128, 0.372, 0.000], [0.872, 0.628, 0.000], [0.628, 0.128, 0.000], [0.810, 0.310, 0.500], [0.310, 0.190, 0.500], [0.690, 0.810, 0.500], [0.190, 0.690, 0.500]]}

---

Record 9
{"formula": "LiHfTe3", "functional": "PBE", "state": "relaxed", "spacegroup": "No. 221", "e_above_lowest_polymorph_mev_per_atom": 235, "e_form_raw_ev_per_atom": -0.399, "dos_at_fermi_per_ev_fu": 2.0, "lattice": [[5.600, 0.000, 0.000], [0.000, 5.600, 0.000], [0.000, 0.000, 5.600]], "species": ["Te", "Te", "Te", "Hf", "Li"], "frac_coords": [[0.500, 0.000, 0.000], [0.000, 0.000, 0.500], [0.000, 0.500, 0.000], [0.000, 0.000, 0.000], [0.500, 0.500, 0.500]]}

---

Record 10
{"formula": "Mg2Sn9O13", "functional": "PBE", "state": "relaxed", "spacegroup": "No. 12", "e_form_raw_ev_per_atom": -1.527, "dos_at_fermi_per_ev_fu": 1.4, "lattice": [[7.129, -2.968, -2.608], [7.828, -2.229, 0.441], [2.985, -15.714, 3.127]], "species": ["Sn", "Sn", "Sn", "Sn", "Sn", "Sn", "Sn", "Sn", "Sn", "Mg", "Mg", "O", "O", "O", "O", "O", "O", "O", "O", "O", "O", "O", "O", "O"], "frac_coords": [[0.851, 0.851, 0.398], [0.149, 0.149, 0.602], [0.021, 0.021, 0.868], [0.500, 0.500, 0.500], [0.310, 0.310, 0.074], [0.979, 0.979, 0.132], [0.690, 0.690, 0.926], [0.200, 0.200, 0.321], [0.800, 0.800, 0.679], [0.422, 0.422, 0.765], [0.578, 0.578, 0.235], [0.621, 0.621, 0.836], [0.923, 0.923, 0.485], [0.570, 0.570, 0.112], [0.077, 0.077, 0.515], [0.025, 0.025, 0.732], [0.430, 0.430, 0.888], [0.000, 0.000, 0.000], [0.409, 0.409, 0.641], [0.379, 0.379, 0.164], [0.591, 0.591, 0.359], [0.177, 0.177, 0.203], [0.975, 0.975, 0.268], [0.823, 0.823, 0.797]]}

---

Record 11
{"formula": "Pr3Ho2Pb4", "functional": "PBE", "state": "relaxed", "spacegroup": "No. 12", "delta_e_f_mev_per_atom": -434, "dos_at_fermi_per_ev_fu": 7.2, "lattice": [[4.683, 0.000, 0.000], [-2.341, 6.929, -0.710], [0.000, -3.870, 9.400]], "species": ["Pb", "Pb", "Pb", "Pb", "Ho", "Ho", "Pr", "Pr", "Pr"], "frac_coords": [[0.933, 0.866, 0.592], [0.067, 0.134, 0.408], [0.697, 0.394, 0.058], [0.303, 0.606, 0.942], [0.679, 0.358, 0.348], [0.321, 0.642, 0.652], [0.000, 0.000, 0.000], [0.627, 0.253, 0.697], [0.373, 0.747, 0.303]]}

---

Record 12
{"formula": "Tb2SmDyTm", "functional": "PBE", "state": "relaxed", "spacegroup": "No. 63", "delta_e_f_mev_per_atom": 405, "dos_at_fermi_per_ev_fu": 7.7, "lattice": [[-2.416, 5.569, -3.852], [-7.684, -3.340, -0.010], [2.616, 4.475, 4.830]], "species": ["Sm", "Sm", "Tb", "Tb", "Tb", "Tb", "Tm", "Tm", "Dy", "Dy"], "frac_coords": [[0.750, 0.274, 0.547], [0.250, 0.726, 0.453], [0.000, 0.690, 0.000], [0.500, 0.310, 0.000], [0.000, 0.310, 0.000], [0.500, 0.690, 0.000], [0.750, 0.724, 0.448], [0.250, 0.276, 0.552], [0.250, 0.997, 0.994], [0.750, 0.003, 0.006]]}

---

Record 13
{"formula": "Ba2PuTaN4", "functional": "PBE", "state": "relaxed", "spacegroup": "No. 74", "e_form_raw_ev_per_atom": -0.783, "dos_at_fermi_per_ev_fu": 7.2, "lattice": [[-0.723, -1.802, -6.895], [5.313, -4.755, 0.688], [-5.775, -0.099, 4.558]], "species": ["Ta", "Ta", "N", "N", "N", "N", "N", "N", "N", "N", "Pu", "Pu", "Ba", "Ba", "Ba", "Ba"], "frac_coords": [[0.500, 0.500, 0.500], [0.000, 0.000, 0.000], [0.764, 0.736, 0.556], [0.825, 0.250, 0.038], [0.175, 0.750, 0.962], [0.764, 0.736, 0.944], [0.250, 0.675, 0.462], [0.236, 0.264, 0.056], [0.750, 0.325, 0.538], [0.236, 0.264, 0.444], [0.000, 0.500, 0.000], [0.000, 0.500, 0.500], [0.000, 0.000, 0.500], [0.500, 0.000, 0.000], [0.500, 0.000, 0.500], [0.500, 0.500, 0.000]]}

---

Record 14
{"formula": "La4InGe", "functional": "PBE", "state": "relaxed", "spacegroup": "No. 15", "e_above_lowest_polymorph_mev_per_atom": 24, "delta_e_f_mev_per_atom": -459, "dos_at_fermi_per_ev_fu": 7.7, "lattice": [[6.222, -0.553, 0.000], [-2.211, 8.834, 0.000], [-2.005, -4.140, 7.116]], "species": ["In", "In", "La", "La", "La", "La", "La", "La", "La", "La", "Ge", "Ge"], "frac_coords": [[0.630, 0.380, 0.760], [0.370, 0.620, 0.240], [0.635, 0.066, 0.363], [0.729, 0.376, 0.160], [0.931, 0.784, 0.160], [0.365, 0.934, 0.637], [0.069, 0.216, 0.840], [0.772, 0.703, 0.637], [0.271, 0.624, 0.840], [0.228, 0.297, 0.363], [0.252, 0.002, 0.004], [0.748, 0.998, 0.996]]}

---

Record 15
{"formula": "Fe3H2Rh", "functional": "PBE", "state": "relaxed", "spacegroup": "No. 12", "dos_at_fermi_per_ev_fu": 3.8, "lattice": [[-0.670, 0.075, 2.675], [-2.925, -4.883, -2.019], [8.761, 0.916, 2.169]], "species": ["Fe", "Fe", "Fe", "Fe", "Fe", "Fe", "H", "H", "H", "H", "Rh", "Rh"], "frac_coords": [[0.066, 0.132, 0.198], [0.934, 0.868, 0.802], [0.200, 0.400, 0.566], [0.800, 0.600, 0.434], [0.341, 0.681, 0.934], [0.659, 0.319, 0.066], [0.872, 0.744, 0.119], [0.128, 0.256, 0.881], [0.403, 0.807, 0.472], [0.597, 0.193, 0.528], [0.580, 0.160, 0.712], [0.420, 0.840, 0.288]]}

---

Record 16
{"formula": "Ba2LiGe3Pt4", "functional": "PBE", "state": "relaxed", "spacegroup": "No. 115", "delta_e_f_mev_per_atom": -755, "dos_at_fermi_per_ev_fu": 6.6, "lattice": [[4.473, 0.000, 0.000], [0.000, 4.473, 0.000], [0.000, 0.000, 10.601]], "species": ["Ge", "Ge", "Ge", "Pt", "Pt", "Pt", "Pt", "Li", "Ba", "Ba"], "frac_coords": [[0.000, 0.500, 0.120], [0.000, 0.000, 0.500], [0.500, 0.000, 0.880], [0.500, 0.500, 0.000], [0.000, 0.000, 0.000], [0.500, 0.000, 0.628], [0.000, 0.500, 0.372], [0.500, 0.500, 0.500], [0.000, 0.500, 0.745], [0.500, 0.000, 0.255]]}

---

Record 17
{"formula": "CsBa2NaF", "functional": "PBE", "state": "relaxed", "spacegroup": "No. 123", "e_form_raw_ev_per_atom": -0.959, "dos_at_fermi_per_ev_fu": 4.5, "lattice": [[-1.335, -5.323, 1.548], [2.088, -1.958, -4.931], [6.493, -0.743, 3.045]], "species": ["Cs", "Ba", "Ba", "F", "Na"], "frac_coords": [[0.000, 0.000, 0.500], [0.500, 0.000, 0.000], [0.000, 0.500, 0.000], [0.000, 0.000, 0.000], [0.500, 0.500, 0.500]]}

---

Record 18
{"formula": "NiPRu2", "functional": "PBE", "state": "relaxed", "spacegroup": "No. 99", "delta_e_f_mev_per_atom": -66, "dos_at_fermi_per_ev_fu": 4.3, "lattice": [[2.830, 0.000, 0.000], [0.000, 2.830, 0.000], [0.000, 0.000, 6.266]], "species": ["Ru", "Ru", "P", "Ni"], "frac_coords": [[0.500, 0.500, 0.259], [0.000, 0.000, 0.968], [0.500, 0.500, 0.730], [0.000, 0.000, 0.543]]}

---

Record 19
{"formula": "Tb6PmDyEr2", "functional": "PBE", "state": "relaxed", "spacegroup": "No. 15", "delta_e_f_mev_per_atom": 120, "dos_at_fermi_per_ev_fu": 14.5, "lattice": [[0.961, -9.276, -1.900], [5.211, -0.343, 7.062], [-8.663, -0.603, 1.314]], "species": ["Tb", "Tb", "Tb", "Tb", "Tb", "Tb", "Tb", "Tb", "Tb", "Tb", "Tb", "Tb", "Pm", "Pm", "Dy", "Dy", "Er", "Er", "Er", "Er"], "frac_coords": [[0.119, 0.708, 0.490], [0.683, 0.016, 0.565], [0.881, 0.292, 0.510], [0.944, 0.879, 0.247], [0.056, 0.121, 0.753], [0.317, 0.984, 0.435], [0.444, 0.247, 0.879], [0.381, 0.510, 0.292], [0.556, 0.753, 0.121], [0.817, 0.435, 0.984], [0.183, 0.565, 0.016], [0.619, 0.490, 0.708], [0.750, 0.027, 0.973], [0.250, 0.973, 0.027], [0.250, 0.409, 0.591], [0.750, 0.591, 0.409], [0.953, 0.697, 0.800], [0.047, 0.303, 0.200], [0.547, 0.200, 0.303], [0.453, 0.800, 0.697]]}

---

Record 20
{"formula": "TlHgB2", "functional": "PBE", "state": "relaxed", "spacegroup": "No. 122", "e_above_lowest_polymorph_mev_per_atom": 0, "delta_e_f_mev_per_atom": 1482, "dos_at_fermi_per_ev_fu": 2.6, "lattice": [[-5.155, 1.500, 0.698], [-1.603, -5.094, -0.891], [-2.977, -2.833, 5.102]], "species": ["B", "B", "B", "B", "Tl", "Tl", "Hg", "Hg"], "frac_coords": [[0.375, 0.399, 0.750], [0.875, 0.851, 0.750], [0.149, 0.625, 0.250], [0.601, 0.125, 0.250], [0.000, 0.000, 0.000], [0.750, 0.250, 0.500], [0.250, 0.750, 0.500], [0.500, 0.500, 0.000]]}

---

Record 21
{"formula": "Ba2ZrCo", "functional": "PBE", "state": "relaxed", "spacegroup": "No. 44", "e_above_lowest_polymorph_mev_per_atom": 127, "delta_e_f_mev_per_atom": 381, "dos_at_fermi_per_ev_fu": 4.6, "lattice": [[-1.120, -6.517, 1.904], [0.776, -6.719, -1.266], [4.580, -2.798, 2.918]], "species": ["Co", "Ba", "Ba", "Zr"], "frac_coords": [[0.463, 0.463, 0.536], [0.194, 0.194, 0.306], [0.009, 0.009, 0.991], [0.833, 0.833, 0.667]]}

---

Record 22
{"formula": "NdEuMgCu", "functional": "PBE", "state": "relaxed", "spacegroup": "No. 216", "delta_e_f_mev_per_atom": -5, "dos_at_fermi_per_ev_fu": 7.9, "lattice": [[-1.708, 0.260, -5.060], [2.189, -3.149, -3.726], [-2.821, -4.038, -2.080]], "species": ["Nd", "Cu", "Eu", "Mg"], "frac_coords": [[0.000, 0.000, 0.000], [0.250, 0.250, 0.250], [0.500, 0.500, 0.500], [0.750, 0.750, 0.750]]}

---

Record 23
{"formula": "Nb2SbNO", "functional": "PBE", "state": "relaxed", "spacegroup": "No. 123", "e_form_raw_ev_per_atom": 0.317, "dos_at_fermi_per_ev_fu": 3.1, "lattice": [[4.413, 0.000, 0.000], [0.000, 3.757, 0.000], [0.000, 0.000, 4.413]], "species": ["Sb", "O", "N", "Nb", "Nb"], "frac_coords": [[0.500, 0.500, 0.500], [0.000, 0.000, 0.000], [0.000, 0.500, 0.000], [0.000, 0.000, 0.500], [0.500, 0.000, 0.000]]}

---

no.,calculated total energy (eV/atom),total magnetization (μB per formula unit)
1,-4.74,0.0
2,-4.88,0.0
3,-4.36,0.0
4,-8.09,0.0
5,-2.61,0.0
6,-6.77,0.0
7,-2.63,1.4
8,-4.46,0.8
9,-4.66,0.0
10,-5.85,0.0
11,-4.69,0.0
12,-4.21,0.0
13,-8.70,4.4
14,-4.97,0.0
15,-6.52,8.1
16,-5.13,0.0
17,-2.54,0.0
18,-7.50,0.0
19,-4.51,0.0
20,-2.52,0.0
21,-4.49,0.0
22,-5.19,7.3
23,-7.19,0.0